# 1
A plane-wave DFT calculation with PBE-GGA was carried out for a relaxed InFe2Cl crystal.

For the formation energy from raw total energies, the calculation gives 0.74 eV per atom. Its final energy is -4.64 eV/atom.

The space group is F-43m (No. 216) and the conventional cell measures 6.5363, 6.5363 and 6.5363 Å, with angles of 90.00, 90.00 and 90.00 degrees. The asymmetric unit holds In at (0.0000, 0.0000, 0.0000), Fe at (0.0000, 0.0000, 0.5000), Fe at (0.2500, 0.2500, 0.2500) and Cl at (0.2500, 0.2500, 0.7500).

***

# 2
A plane-wave DFT calculation with PBE-GGA was carried out for a relaxed InFeCl2 crystal.

For the formation energy from raw total energies, the calculation gives 0.05 eV per atom. Its final energy is -3.67 eV/atom.

The space group is P4/mmm (No. 123) and the conventional cell measures 5.1482, 5.1482 and 3.4013 Å, with angles of 90.00, 90.00 and 90.00 degrees. The asymmetric unit holds In at (0.0000, 0.0000, 0.0000), Fe at (0.5000, 0.5000, 0.0000) and Cl at (0.0000, 0.5000, 0.5000).